(1)
Here is a relaxed structure of InPd2Pt from Alexandria via LeMat-Bulk. Energies are from PBE.

It has space group P4/mmm (No. 123), with a = 3.389 Å, b = 3.389 Å, c = 5.820 Å, α = 90.00°, β = 90.00° and γ = 90.00°. The inequivalent atoms are In at (0.000, 0.000, 0.000), Pd at (0.500, 0.500, 0.252) and Pt at (0.000, 0.000, 0.500).

The value obtained for the energy relative to the elements is -27.94 kJ/mol of atoms. The calculation puts the total energy at -5.081 eV/atom.

=====

(2)
Here is a relaxed structure of In2Pd4Pt from Alexandria via LeMat-Bulk. Energies are from PBE.

It has space group P2_1/m (No. 11), with a = 6.806 Å, b = 5.533 Å, c = 7.134 Å, α = 90.00°, β = 114.32° and γ = 90.00°. The inequivalent atoms are In at (0.086, 0.250, 0.377), In at (0.272, 0.750, 0.072), Pd at (0.248, 0.250, 0.083), Pd at (0.334, 0.504, 0.761), Pd at (0.485, 0.750, 0.495) and Pt at (0.049, 0.750, 0.315).

The value obtained for the energy relative to the elements is -29.97 kJ/mol of atoms. The calculation puts the total energy at -4.923 eV/atom.

=====

(3)
Here is a relaxed structure of InPd6Pt5 from Alexandria via LeMat-Bulk. Energies are from PBE.

It has space group C2/m (No. 12), with a = 4.005 Å, b = 11.934 Å, c = 7.922 Å, α = 90.00°, β = 90.06° and γ = 90.00°. The inequivalent atoms are In at (0.000, 0.000, 0.000), Pd at (0.000, 0.500, 0.249), Pd at (0.001, 0.168, 0.748), Pt at (0.000, 0.000, 0.500), Pt at (0.000, 0.332, 0.000) and Pt at (0.000, 0.336, 0.500).

The value obtained for the energy relative to the elements is -15.52 kJ/mol of atoms. The calculation puts the total energy at -5.502 eV/atom.

=====

(4)
Here is a relaxed structure of InPd2Pt7 from Alexandria via LeMat-Bulk. Energies are from PBE.

It has space group Cmmm (No. 65), with a = 7.154 Å, b = 13.131 Å, c = 4.358 Å, α = 90.00°, β = 90.00° and γ = 90.00°. The inequivalent atoms are In at (0.000, 0.000, 0.000), Pd at (0.000, 0.298, 0.500), Pt at (0.000, 0.197, 0.000), Pt at (0.000, 0.500, 0.500) and Pt at (0.185, 0.106, 0.500).

The value obtained for the energy relative to the elements is 34.63 kJ/mol of atoms. The calculation puts the total energy at -5.182 eV/atom.

=====

(5)
Here is a relaxed structure of InPd6Pt12 from Alexandria via LeMat-Bulk. Energies are from PBE.

It has space group P-1 (No. 2), with a = 7.232 Å, b = 7.336 Å, c = 7.507 Å, α = 95.88°, β = 107.20° and γ = 118.52°. The inequivalent atoms are In at (0.000, 0.000, 0.000), Pd at (0.045, 0.968, 0.343), Pd at (0.172, 0.394, 0.311), Pd at (0.412, 0.790, 0.002), Pt at (0.097, 0.456, 0.665), Pt at (0.246, 0.884, 0.673), Pt at (0.287, 0.378, 0.993), Pt at (0.324, 0.826, 0.327), Pt at (0.389, 0.312, 0.666) and Pt at (0.465, 0.256, 0.320).

The value obtained for the energy relative to the elements is 2.07 kJ/mol of atoms. The calculation puts the total energy at -5.578 eV/atom.

=====

(6)
Here is a relaxed structure of InPd4Pt2 from Alexandria via LeMat-Bulk. Energies are from PBE.

It has space group P2_1/m (No. 11), with a = 6.816 Å, b = 5.452 Å, c = 7.097 Å, α = 90.00°, β = 117.72° and γ = 90.00°. The inequivalent atoms are In at (0.066, 0.250, 0.322), Pd at (0.228, 0.750, 0.087), Pd at (0.355, 0.502, 0.771), Pd at (0.497, 0.750, 0.513), Pt at (0.054, 0.750, 0.370) and Pt at (0.239, 0.250, 0.045).

The value obtained for the energy relative to the elements is -12.53 kJ/mol of atoms. The calculation puts the total energy at -5.214 eV/atom.

=====

Which of these has the highest energy relative to the elements?
InPd2Pt7